[1]
{"formula": "Sr6Nd", "functional": "PBE", "state": "optimized geometry", "cell": [[8.354, 0.000, 0.000], [-2.785, 7.877, 0.000], [-2.785, -3.938, 6.821]], "species": ["Sr", "Sr", "Sr", "Sr", "Sr", "Sr", "Nd"], "frac_coords": [[0.250, 0.750, 0.500], [0.500, 0.750, 0.250], [0.250, 0.500, 0.750], [0.750, 0.250, 0.500], [0.500, 0.250, 0.750], [0.750, 0.500, 0.250], [0.000, 0.000, 0.000]], "delta_e_f_ev_per_atom": 1.240, "dos_at_fermi_per_ev_cell": 16.26, "volume_a3_per_cell": 448.9}



[2]
{"formula": "Mn4AsPb", "functional": "PBE", "state": "optimized geometry", "cell": [[0.000, 3.598, 3.598], [3.598, 0.000, 3.598], [3.598, 3.598, 0.000]], "species": ["Mn", "Mn", "Mn", "Mn", "As", "Pb"], "frac_coords": [[0.877, 0.374, 0.374], [0.374, 0.374, 0.877], [0.374, 0.877, 0.374], [0.374, 0.374, 0.374], [0.000, 0.000, 0.000], [0.750, 0.750, 0.750]], "delta_e_f_ev_per_atom": 0.462, "dos_at_fermi_per_ev_cell": 6.47, "volume_a3_per_cell": 93.1}



[3]
{"formula": "Mn2SiMo2", "functional": "PBE", "state": "optimized geometry", "cell": [[7.054, 0.000, 0.000], [0.000, 7.054, 0.000], [0.000, 0.000, 2.864]], "species": ["Mo", "Mo", "Mo", "Mo", "Mn", "Mn", "Mn", "Mn", "Si", "Si"], "frac_coords": [[0.342, 0.842, 0.000], [0.842, 0.658, 0.000], [0.658, 0.158, 0.000], [0.158, 0.342, 0.000], [0.137, 0.637, 0.500], [0.637, 0.863, 0.500], [0.863, 0.363, 0.500], [0.363, 0.137, 0.500], [0.000, 0.000, 0.000], [0.500, 0.500, 0.000]], "raw_formation_energy_kj_per_mol_atoms": 40.1, "dos_at_fermi_per_ev_cell": 10.82, "volume_a3_per_cell": 142.5}



[4]
{"formula": "BaSr6Ca4", "functional": "PBE", "state": "optimized geometry", "cell": [[4.139, 0.000, 0.000], [0.000, 12.847, 0.000], [0.000, -6.423, 11.125]], "species": ["Ba", "Sr", "Sr", "Sr", "Sr", "Sr", "Sr", "Ca", "Ca", "Ca", "Ca"], "frac_coords": [[0.000, 0.000, 0.000], [0.000, 0.520, 0.041], [0.500, 0.639, 0.820], [0.000, 0.520, 0.480], [0.000, 0.959, 0.480], [0.500, 0.180, 0.820], [0.500, 0.180, 0.361], [0.500, 0.833, 0.666], [0.500, 0.334, 0.167], [0.500, 0.833, 0.167], [0.000, 0.333, 0.667]], "delta_e_f_ev_per_atom": 0.104, "dos_at_fermi_per_ev_cell": 14.59, "volume_a3_per_cell": 591.5}



[5]
{"formula": "Tb6Pr8Er", "functional": "PBE", "state": "optimized geometry", "cell": [[-1.168, -6.223, -2.031], [1.608, 2.628, -8.980], [7.169, -3.105, 5.394]], "species": ["Tb", "Tb", "Tb", "Tb", "Tb", "Tb", "Pr", "Pr", "Pr", "Pr", "Pr", "Pr", "Pr", "Pr", "Er"], "frac_coords": [[0.656, 0.657, 0.093], [0.656, 0.907, 0.564], [0.656, 0.436, 0.343], [0.344, 0.343, 0.907], [0.344, 0.093, 0.436], [0.344, 0.564, 0.657], [0.832, 0.036, 0.286], [0.832, 0.714, 0.750], [0.832, 0.250, 0.964], [0.168, 0.964, 0.714], [0.168, 0.286, 0.250], [0.168, 0.750, 0.036], [0.881, 0.333, 0.667], [0.119, 0.667, 0.333], [0.500, 0.000, 0.000]], "delta_e_f_ev_per_atom": 0.168, "dos_at_fermi_per_ev_cell": 23.41, "volume_a3_per_cell": 519.1}



[6]
{"formula": "VZnCr2", "functional": "PBE", "state": "optimized geometry", "cell": [[-1.955, -2.095, 0.864], [2.105, -2.101, -0.333], [1.604, 0.745, 5.439]], "species": ["Cr", "Cr", "Zn", "V"], "frac_coords": [[0.000, 0.000, 0.770], [0.000, 0.000, 0.230], [0.500, 0.500, 0.500], [0.500, 0.500, 0.000]], "delta_e_f_ev_per_atom": 0.165, "dos_at_fermi_per_ev_cell": 4.76, "volume_a3_per_cell": 51.2}